1.
Material: Ce5Tm3S8
Method: DFT, PBE-GGA
State: relaxed

Cell: 7.937 7.937 7.937 Å, 59.52 59.52 59.52°
Fractional positions:
Ce (0.000, 0.000, 0.000)
Ce (0.000, 0.500, 0.500)
Ce (0.500, 0.000, 0.500)
Ce (0.500, 0.500, 0.000)
Ce (0.500, 0.500, 0.500)
Tm (0.000, 0.000, 0.500)
Tm (0.000, 0.500, 0.000)
Tm (0.500, 0.000, 0.000)
S (0.238, 0.750, 0.750)
S (0.244, 0.244, 0.244)
S (0.250, 0.250, 0.762)
S (0.250, 0.762, 0.250)
S (0.750, 0.238, 0.750)
S (0.750, 0.750, 0.238)
S (0.756, 0.756, 0.756)
S (0.762, 0.250, 0.250)

## Properties
Formation energy from raw total energies: -2.01 eV/atom
Calculated volume: 21.86 Å³ per atom

---

2.
Material: BaS
Method: DFT, PBE-GGA
State: relaxed

Cell: 9.338 9.338 9.338 Å, 94.57 94.57 147.20°
Fractional positions:
Ba (0.120, 0.706, 0.826)
Ba (0.294, 0.120, 0.414)
Ba (0.706, 0.880, 0.586)
Ba (0.880, 0.294, 0.174)
S (0.120, 0.291, 0.411)
S (0.291, 0.880, 0.171)
S (0.709, 0.120, 0.829)
S (0.880, 0.709, 0.589)

## Properties
Formation energy from raw total energies: -1.81 eV/atom
Offset from the most stable computed form: 0.267 eV per atom
Calculated volume: 52.88 Å³ per atom

---

3.
Material: Rb2UBiSe5
Method: DFT, PBE-GGA
State: relaxed

Cell: 9.416 9.416 16.012 Å, 90.00 90.00 152.89°
Fractional positions:
Rb (0.094, 0.906, 0.500)
Rb (0.147, 0.853, 0.135)
Rb (0.853, 0.147, 0.635)
Rb (0.906, 0.094, 0.000)
U (0.216, 0.784, 0.860)
U (0.784, 0.216, 0.360)
Bi (0.468, 0.532, 0.274)
Bi (0.532, 0.468, 0.774)
Se (0.068, 0.932, 0.891)
Se (0.277, 0.723, 0.468)
Se (0.312, 0.688, 0.247)
Se (0.357, 0.643, 0.824)
Se (0.495, 0.505, 0.615)
Se (0.505, 0.495, 0.115)
Se (0.643, 0.357, 0.324)
Se (0.688, 0.312, 0.747)
Se (0.723, 0.277, 0.968)
Se (0.932, 0.068, 0.391)

## Properties
Formation energy from raw total energies: -0.93 eV/atom
Calculated volume: 35.93 Å³ per atom

---

| no. | ρ (g/cm³) | energy (eV per atom) | size of the total moment (μB/f.u.) |
| --- | --- | --- | --- |
| 1 | 6.95 | -6.77 | 2.7 |
| 2 | 2.66 | -4.84 | 0.0 |
| 3 | 5.20 | -4.77 | 1.0 |